Material: In2PIr
Method: DFT, PBE-GGA
State: optimized geometry

Values from the calculation:
- space-group type = P2/m (10)
- E (eV per atom) = -4.688
- total magnetic moment (μB/atom) = 0.000
- Fermi-level density of states (states/eV per cell) = 1.88
- calculated volume (Å³/f.u.) = 74

abc: 3.2341 3.7772 6.7998
angles: 63.02 90.00 90.00
Closest atoms and distances in Å follow each position.
Atoms (fractional coordinates):
In (0.0000, 0.9764, 0.0064)  4 P 2.78-3.09, 4 Ir 2.83-2.96, 1 In 2.96
Ir (0.5000, 0.2500, 0.2500)  8 In 2.83-2.96, 2 P 3.05
P (0.5000, 0.7500, 0.7500)  8 In 2.78-3.09, 2 Ir 3.05
In (0.0000, 0.5236, 0.4936)  4 P 2.78-3.09, 4 Ir 2.83-2.96, 1 In 2.96